# 1
Entry from Alexandria: a relaxed structure of Li2Er2Ni15 (PBE).

Space group: R-3m, No. 166

Cell: 6.255 6.255 6.255 Å, 83.11 83.11 83.11°
Fractional positions:
Li 0.094 0.094 0.094
Li 0.906 0.906 0.906
Er 0.344 0.344 0.344
Er 0.656 0.656 0.656
Ni 0.000 0.000 0.500
Ni 0.000 0.306 0.694
Ni 0.000 0.500 0.000
Ni 0.000 0.694 0.306
Ni 0.159 0.656 0.656
Ni 0.306 0.000 0.694
Ni 0.306 0.694 0.000
Ni 0.344 0.344 0.841
Ni 0.344 0.841 0.344
Ni 0.500 0.000 0.000
Ni 0.656 0.159 0.656
Ni 0.656 0.656 0.159
Ni 0.694 0.000 0.306
Ni 0.694 0.306 0.000
Ni 0.841 0.344 0.344

***

# 2
Entry from Alexandria: a relaxed structure of LiErNi5 (PBE).

Space group: Pnma, No. 62

Cell: 7.866 4.806 9.946 Å, 90.00 90.00 90.00°
Fractional positions:
Li 0.134 0.250 0.145
Li 0.366 0.750 0.645
Li 0.634 0.250 0.355
Li 0.866 0.750 0.855
Er 0.244 0.750 0.941
Er 0.256 0.250 0.441
Er 0.744 0.750 0.559
Er 0.756 0.250 0.059
Ni 0.060 0.250 0.900
Ni 0.072 0.503 0.688
Ni 0.072 0.997 0.688
Ni 0.095 0.750 0.482
Ni 0.182 0.750 0.250
Ni 0.318 0.250 0.750
Ni 0.405 0.250 0.982
Ni 0.428 0.003 0.188
Ni 0.428 0.497 0.188
Ni 0.440 0.750 0.400
Ni 0.560 0.250 0.600
Ni 0.572 0.503 0.812
Ni 0.572 0.997 0.812
Ni 0.595 0.750 0.018
Ni 0.682 0.750 0.250
Ni 0.818 0.250 0.750
Ni 0.905 0.250 0.518
Ni 0.928 0.003 0.312
Ni 0.928 0.497 0.312
Ni 0.940 0.750 0.100

***

# 3
Entry from Alexandria: a relaxed structure of LiEr2Ni (PBE).

Space group: P4/mmm, No. 123

Cell: 3.427 3.427 7.461 Å, 90.00 90.00 90.00°
Fractional positions:
Li 0.000 0.000 0.000
Er 0.500 0.500 0.289
Er 0.500 0.500 0.711
Ni 0.000 0.000 0.500

***

# 4
Entry from Alexandria: a relaxed structure of LiErNi2 (PBE).

Space group: R-3m, No. 166

Cell: 4.079 4.079 13.347 Å, 90.00 90.00 120.00°
Fractional positions:
Li 0.000 0.000 0.000
Li 0.333 0.667 0.667
Li 0.667 0.333 0.333
Er 0.000 0.000 0.500
Er 0.333 0.667 0.167
Er 0.667 0.333 0.833
Ni 0.000 0.000 0.295
Ni 0.000 0.000 0.705
Ni 0.333 0.667 0.372
Ni 0.333 0.667 0.962
Ni 0.667 0.333 0.038
Ni 0.667 0.333 0.628

***

# 5
Entry from Alexandria: a relaxed structure of LiEr6Ni2 (PBE).

Space group: Immm, No. 71

Cell: 8.290 8.290 8.290 Å, 112.36 110.48 105.65°
Fractional positions:
Li 0.000 0.000 0.000
Li 0.500 0.500 0.000
Er 0.033 0.230 0.803
Er 0.182 0.288 0.470
Er 0.182 0.712 0.894
Er 0.320 0.012 0.691
Er 0.320 0.629 0.309
Er 0.427 0.230 0.197
Er 0.573 0.770 0.803
Er 0.680 0.371 0.691
Er 0.680 0.988 0.309
Er 0.818 0.288 0.106
Er 0.818 0.712 0.530
Er 0.967 0.770 0.197
Ni 0.121 0.621 0.500
Ni 0.347 0.000 0.347
Ni 0.653 0.000 0.653
Ni 0.879 0.379 0.500

***

# 6
Entry from Alexandria: a relaxed structure of Li2ErNi (PBE).

Space group: R-3m, No. 166

Cell: 2.996 2.996 29.903 Å, 90.00 90.00 120.00°
Fractional positions:
Li 0.000 0.000 0.103
Li 0.000 0.000 0.897
Li 0.333 0.667 0.564
Li 0.333 0.667 0.769
Li 0.667 0.333 0.231
Li 0.667 0.333 0.436
Er 0.000 0.000 0.000
Er 0.333 0.667 0.667
Er 0.667 0.333 0.333
Ni 0.000 0.000 0.500
Ni 0.333 0.667 0.167
Ni 0.667 0.333 0.833

***

# 7
Entry from Alexandria: a relaxed structure of LiErNi4 (PBE).

Space group: F-43m, No. 216

Cell: 4.875 4.875 4.875 Å, 60.00 60.00 60.00°
Fractional positions:
Li 0.000 0.000 0.000
Er 0.750 0.750 0.750
Ni 0.374 0.374 0.374
Ni 0.374 0.374 0.877
Ni 0.374 0.877 0.374
Ni 0.877 0.374 0.374

***

| no. | V (Å³ per cell) | DFT formation energy (eV per atom) | density (Mg/m³) |
| --- | --- | --- | --- |
| 1 | 240 | -0.237 | 8.51 |
| 2 | 376 | -0.226 | 8.26 |
| 3 | 88 | -0.180 | 7.58 |
| 4 | 192 | -0.180 | 7.55 |
| 5 | 437 | -0.207 | 8.57 |
| 6 | 233 | 0.389 | 5.14 |
| 7 | 82 | -0.348 | 8.29 |